No. 1
The following is a DFT calculation (PBE-GGA) of K3U3VS8 after structural relaxation.

Values from the calculation:
The space group is No. 166. As for the crystal system: trigonal.

Cell: 7.8041 7.8030 8.8134 Å, 116.27 90.00 120.00°
Site moments in Bohr magnetons follow the coordinates.
Fractional coordinates of all 15 atoms:
S: 0.2520 0.0311 0.3101  -0.07
S: 0.2209 0.4418 0.6898  -0.07
S: 0.7791 0.5582 0.3102  -0.07
S: 0.7791 0.0311 0.3102  -0.07
S: 0.7356 0.4711 0.7066  -0.06
S: 0.2209 0.9689 0.6898  -0.07
S: 0.7480 0.9689 0.6899  -0.07
S: 0.2644 0.5289 0.2934  -0.06
K: 0.0000 0.5000 0.0000  0.00
K: 0.5000 0.5000 0.0000  0.00
K: 0.0000 0.0000 0.0000  0.00
V: 0.0000 0.0000 0.5000  2.21
U: 0.5000 0.5000 0.5000  2.37
U: 0.0000 0.5000 0.5000  2.37
U: 0.5000 0.0000 0.5000  2.38



No. 2
The following is a DFT calculation (PBE-GGA) of K2YUS4 after structural relaxation.

Values from the calculation:
The space group is No. 10. As for the crystal system: monoclinic.

Cell: 4.0584 7.0256 7.7622 Å, 107.59 90.00 90.00°
Site moments in Bohr magnetons follow the coordinates.
Fractional coordinates of all 8 atoms:
S: 0.0000 0.7344 0.2033  -0.04
S: 0.5000 0.7657 0.7965  -0.02
S: 0.0000 0.2656 0.7967  -0.04
S: 0.5000 0.2343 0.2035  -0.02
K: 0.0000 0.5000 0.5000  0.00
K: 0.5000 0.0000 0.5000  0.00
Y: 0.0000 0.0000 0.0000  0.11
U: 0.5000 0.5000 0.0000  2.57



No. 3
The following is a DFT calculation (PBE-GGA) of K3Y2US6 after structural relaxation.

Values from the calculation:
The space group is No. 12. As for the crystal system: monoclinic.

Cell: 7.0459 7.0459 7.7451 Å, 98.71 98.71 120.02°
Site moments in Bohr magnetons follow the coordinates.
Fractional coordinates of all 12 atoms:
K: 0.1675 0.8325 0.5000  0.00
K: 0.5000 0.5000 0.5000  0.00
K: 0.8325 0.1675 0.5000  0.00
S: 0.2661 0.2661 0.7969  -0.02
S: 0.7339 0.7339 0.2031  -0.02
S: 0.4015 0.0675 0.2029  -0.02
S: 0.5985 0.9325 0.7971  -0.02
S: 0.9325 0.5985 0.7971  -0.02
S: 0.0675 0.4015 0.2029  -0.02
U: 0.0000 0.0000 0.0000  2.53
Y: 0.3334 0.6666 0.0000  0.09
Y: 0.6666 0.3334 0.0000  0.09



No. 4
The following is a DFT calculation (PBE-GGA) of KYUS4 after structural relaxation.

Values from the calculation:
The space group is No. 74. As for the crystal system: orthorhombic.

Cell: 8.4157 8.3499 8.3828 Å, 120.13 90.00 120.26°
Site moments in Bohr magnetons follow the coordinates.
Fractional coordinates of all 14 atoms:
K: 0.8771 0.7541 0.1271  0.00
K: 0.1229 0.2459 0.8729  0.00
U: 0.5000 0.5000 0.5000  2.05
U: 0.0000 0.5000 0.5000  2.05
Y: 0.5000 0.0000 0.0000  0.02
Y: 0.5000 0.0000 0.5000  0.02
S: 0.7347 0.0428 0.2714  -0.03
S: 0.2649 0.5298 0.3076  -0.05
S: 0.7351 0.4702 0.2778  -0.05
S: 0.3081 0.0429 0.2714  -0.03
S: 0.6919 0.9571 0.7286  -0.03
S: 0.2649 0.5298 0.7222  -0.05
S: 0.7351 0.4702 0.6924  -0.05
S: 0.2653 0.9572 0.7286  -0.03



Uncorrected energy for the records above, in order: -6.62 -6.18 -6.05 -6.67 eV per atom
Energy relative to the elements, uncorrected for the records above, in order: -1.329 -1.619 -1.698 -1.618 eV per atom